Below is CsYTm after structural relaxation, with properties calculated at the PBE level.

Electronic total energy in eV/atom: -2.63
Offset from the most stable computed form in meV/atom: 21.5

Lattice parameters (Å, degrees): 5.5318 5.5318 5.5318 60.00 60.00 60.00
Fractional positions:
1 Y 0.2500 0.2500 0.2500
2 Cs 0.0000 0.0000 0.0000
3 Tm 0.7500 0.7500 0.7500

Below is CsYTm after structural relaxation, with properties calculated at the PBE level.

Electronic total energy in eV/atom: -2.65
Offset from the most stable computed form in meV/atom: 0.0

Lattice parameters (Å, degrees): 6.0795 6.0795 6.0795 60.00 60.00 60.00
Fractional positions:
1 Y 0.0000 0.0000 0.0000
2 Tm 0.7500 0.7500 0.7500
3 Cs 0.2500 0.2500 0.2500

Below is CsTmZn after structural relaxation, with properties calculated at the PBE level.

Electronic total energy in eV/atom: -1.34

Lattice parameters (Å, degrees): 5.4607 5.4607 5.4607 60.00 60.00 60.00
Fractional positions:
1 Zn 0.7500 0.7500 0.7500
2 Tm 0.0000 0.0000 0.0000
3 Cs 0.2500 0.2500 0.2500